DFT (GGA+U) results for Rb2Cr2CdH4O10 after structural relaxation.

Properties
total magnetization	0.000	μB per atom
energy	-5.6025	eV per atom

```
Rb2Cr2CdH4O10
1.0
-0.719 2.438 -6.400
-6.805 -2.326 -3.397
-7.619 8.771 1.010
Rb Cr Cd H O
4 4 2 8 20
direct
0.190 0.248 0.600
0.729 0.263 0.079
0.271 0.737 0.921
0.810 0.752 0.400
0.740 0.772 0.084
0.727 0.229 0.424
0.260 0.228 0.916
0.273 0.771 0.576
0.750 0.973 0.746
0.250 0.027 0.254
0.630 0.305 0.808
0.657 0.662 0.711
0.334 0.620 0.332
0.841 0.572 0.797
0.343 0.338 0.289
0.159 0.428 0.203
0.666 0.380 0.668
0.370 0.695 0.192
0.737 0.280 0.733
0.838 0.356 0.455
0.580 0.665 0.077
0.889 0.118 0.315
0.386 0.085 0.820
0.189 0.104 0.055
0.420 0.335 0.923
0.614 0.915 0.180
0.959 0.617 0.135
0.716 0.683 0.773
0.506 0.636 0.624
0.494 0.364 0.376
0.041 0.383 0.865
0.678 0.070 0.550
0.284 0.317 0.227
0.162 0.644 0.545
0.811 0.896 0.945
0.263 0.720 0.267
0.322 0.930 0.450
0.111 0.882 0.685
```